# LiCo3C

A geometry-optimized LiCo3C structure (PBE-GGA, the Alexandria database).

a = 3.7273 Å, b = 3.7273 Å, c = 3.7273 Å
α = 90.00°, β = 90.00°, γ = 90.00°
Positions (direct):
Li 0.0000 0.0000 0.0000
Co 0.0000 0.5000 0.5000
Co 0.5000 0.0000 0.5000
Co 0.5000 0.5000 0.0000
C 0.5000 0.5000 0.5000

Output
Volume: 10.36 Å³ per atom
Offset from the most stable computed form: 0.00 eV/f.u.
Energy of formation from the pure elements: 0.0617 eV/atom
Crystal system: cubic